A plane-wave DFT calculation with GGA-PBE was carried out for crystalline Tb5Bi5Te at its relaxed geometry.

Calculated values
- energy relative to the elements, uncorrected (eV per atom) = -0.77

a b c (Å): 14.070 6.236 8.918
angles (deg): 90.00 108.91 90.00
Space group C2/m (No. 12)
Symmetry-distinct sites (fractional):
Tb 0.000 0.000 0.000 (multiplicity 2)
Tb 0.168 0.500 0.334 (multiplicity 4)
Tb 0.172 0.500 0.836 (multiplicity 4)
Bi 0.000 0.500 0.500 (multiplicity 2)
Bi 0.156 0.000 0.816 (multiplicity 4)
Bi 0.158 0.000 0.339 (multiplicity 4)
Te 0.000 0.500 0.000 (multiplicity 2)

---

A plane-wave DFT calculation with GGA-PBE was carried out for crystalline Li2LaCrW at its relaxed geometry.

a b c (Å): 4.790 4.790 4.634
angles (deg): 90.00 90.00 90.00
Space group P4/mmm (No. 123)
Symmetry-distinct sites (fractional):
Li 0.000 0.500 0.000 (multiplicity 2)
La 0.000 0.000 0.500 (multiplicity 1)
Cr 0.500 0.500 0.000 (multiplicity 1)
W 0.500 0.500 0.500 (multiplicity 1)

---

What did we get for volume? Answer: 740.2, 106.3 Å³ per cell, in the order shown.
What did we get for E? Answer: -4.921, -5.503 eV/atom, in the order shown.